Record 1
## TaRe2Tc (GGA-PBE)

Data for a geometry-optimized TaRe2Tc structure.

Unit cell a=2.751 b=2.751 c=8.813 alpha=90.00 beta=90.00 gamma=110.10
Element x y z (fractional)
Re: 0.500 0.500 0.246
Re: 0.000 0.000 0.999
Tc: 0.500 0.500 0.753
Ta: 0.000 0.000 0.501

Values from the calculation:
Energy above the most stable polymorph in this dataset, meV/atom: 152



Record 2
## Tb5Ho2Mg5 (GGA-PBE)

Data for a geometry-optimized Tb5Ho2Mg5 structure.

Unit cell a=5.338 b=6.464 c=15.981 alpha=132.12 beta=90.02 gamma=114.39
Element x y z (fractional)
Ho: 0.924 0.848 0.752
Ho: 0.076 0.152 0.248
Tb: 0.357 0.714 0.013
Tb: 0.208 0.415 0.729
Tb: 0.500 0.000 0.500
Tb: 0.792 0.585 0.271
Tb: 0.643 0.286 0.987
Mg: 0.386 0.772 0.227
Mg: 0.775 0.549 0.467
Mg: 0.225 0.451 0.533
Mg: 0.000 0.000 0.000
Mg: 0.614 0.228 0.773

Values from the calculation:
Energy above the most stable polymorph in this dataset, meV/atom: 36



Record 3
## La2Cu3HgGe4 (GGA-PBE)

Data for a geometry-optimized La2Cu3HgGe4 structure.

Unit cell a=4.362 b=4.362 c=10.341 alpha=90.00 beta=90.00 gamma=90.00
Element x y z (fractional)
Ge: 0.000 0.500 0.351
Ge: 0.500 0.500 0.000
Ge: 0.500 0.000 0.649
Ge: 0.000 0.000 0.000
La: 0.500 0.000 0.240
La: 0.000 0.500 0.760
Cu: 0.000 0.500 0.119
Cu: 0.500 0.000 0.881
Cu: 0.000 0.000 0.500
Hg: 0.500 0.500 0.500



Number 1: mass density 17266 kg/m³, final energy -11.697 eV per atom, formation enthalpy at 0 K 0.0820 eV per atom. Number 2: mass density 6091 kg/m³, final energy -3.355 eV per atom, formation enthalpy at 0 K 0.0014 eV per atom. Number 3: mass density 8099 kg/m³, final energy -4.566 eV per atom, formation enthalpy at 0 K -0.4750 eV per atom.